1.
## Ge2S (PBE)

Data for crystalline Ge2S at its relaxed geometry.

a b c (Å): 10.516 5.814 9.244
angles (deg): 90.00 148.69 90.00
Fractional coordinates of all 12 atoms:
Ge  0.423  0.036  0.248
Ge  0.952  0.278  0.008
Ge  0.923  0.464  0.248
Ge  0.452  0.222  0.008
Ge  0.923  0.964  0.748
Ge  0.952  0.778  0.508
Ge  0.452  0.722  0.508
Ge  0.423  0.536  0.748
S  0.389  0.806  0.911
S  0.889  0.694  0.911
S  0.889  0.194  0.411
S  0.389  0.306  0.411

Computed properties:
energy relative to the elements, uncorrected	22	meV per atom
polymorph energy (0 for the lowest one)	68.4	meV per atom

---

2.
## BaGa2Se2 (PBE)

Data for crystalline BaGa2Se2 at its relaxed geometry.

a b c (Å): 5.384 5.384 5.981
angles (deg): 63.25 63.25 90.00
Fractional coordinates of all 5 atoms:
Se  0.750  0.250  0.500
Se  0.250  0.750  0.500
Ga  0.647  0.647  0.705
Ga  0.353  0.353  0.295
Ba  0.000  0.000  0.000

Computed properties:
energy relative to the elements, uncorrected	-777	meV per atom
polymorph energy (0 for the lowest one)	0.0	meV per atom

---

3.
## La2TaRh (PBE)

Data for crystalline La2TaRh at its relaxed geometry.

a b c (Å): 5.696 5.696 5.696
angles (deg): 140.68 123.15 71.31
Site moments in Bohr magnetons follow the coordinates.
Fractional coordinates of all 4 atoms:
Rh  0.500  0.000  0.500  0.05
Ta  0.000  0.500  0.500  0.58
La  0.720  0.720  0.000  0.06
La  0.280  0.280  0.000  0.06

Computed properties:
polymorph energy (0 for the lowest one)	306.1	meV per atom

---

4.
## KTl3Cl (PBE)

Data for crystalline KTl3Cl at its relaxed geometry.

a b c (Å): 5.978 5.978 5.978
angles (deg): 90.00 90.00 90.00
Fractional coordinates of all 5 atoms:
Cl  0.000  0.000  0.000
Tl  0.000  0.500  0.000
Tl  0.000  0.000  0.500
Tl  0.500  0.000  0.000
K  0.500  0.500  0.500

Computed properties:
energy relative to the elements, uncorrected	-235	meV per atom
polymorph energy (0 for the lowest one)	0.0	meV per atom

---

5.
## GaNi3Pt3 (PBE)

Data for crystalline GaNi3Pt3 at its relaxed geometry.

a b c (Å): 5.388 5.388 7.069
angles (deg): 90.00 90.00 90.27
Site moments in Bohr magnetons follow the coordinates.
Fractional coordinates of all 14 atoms:
Ni  0.735  0.735  0.500  0.70
Ni  0.737  0.263  0.500  0.68
Ni  0.745  0.255  0.000  0.38
Ni  0.265  0.265  0.500  0.70
Ni  0.255  0.745  0.000  0.38
Ni  0.263  0.737  0.500  0.68
Pt  0.000  0.500  0.252  0.13
Pt  0.500  0.000  0.252  0.13
Pt  0.000  0.000  0.253  0.26
Pt  0.000  0.000  0.747  0.26
Pt  0.500  0.000  0.748  0.13
Pt  0.000  0.500  0.748  0.13
Ga  0.279  0.279  0.000  -0.01
Ga  0.721  0.721  0.000  -0.01

Computed properties:
total energy	-78.421	eV for the cell shown

---

6.
## Hf2AlZn2 (PBE)

Data for crystalline Hf2AlZn2 at its relaxed geometry.

a b c (Å): 6.561 6.561 4.145
angles (deg): 90.00 90.00 90.00
Fractional coordinates of all 10 atoms:
Zn  0.368  0.868  0.000
Zn  0.868  0.632  0.000
Zn  0.132  0.368  0.000
Zn  0.632  0.132  0.000
Hf  0.669  0.831  0.500
Hf  0.331  0.169  0.500
Hf  0.831  0.331  0.500
Hf  0.169  0.669  0.500
Al  0.000  0.000  0.000
Al  0.500  0.500  0.000

Computed properties:
total energy	-55.111	eV for the cell shown

---

7.
## Ca2Sn4RhAu3 (PBE)

Data for crystalline Ca2Sn4RhAu3 at its relaxed geometry.

a b c (Å): 4.614 4.614 11.439
angles (deg): 90.00 90.00 90.00
Fractional coordinates of all 10 atoms:
Sn  0.000  0.500  0.379
Sn  0.500  0.000  0.621
Sn  0.000  0.000  0.000
Sn  0.500  0.500  0.000
Ca  0.500  0.000  0.273
Ca  0.000  0.500  0.727
Au  0.000  0.500  0.147
Au  0.500  0.000  0.853
Au  0.000  0.000  0.500
Rh  0.500  0.500  0.500

Computed properties:
total energy	-42.031	eV for the cell shown

---

8.
## Ho13Tm3 (PBE)

Data for crystalline Ho13Tm3 at its relaxed geometry.

a b c (Å): 7.016 7.016 9.913
angles (deg): 90.00 90.00 90.01
Fractional coordinates of all 16 atoms:
Ho  0.250  0.250  0.500
Ho  0.750  0.750  0.500
Ho  0.500  0.500  0.750
Ho  0.000  0.500  0.250
Ho  0.250  0.750  0.500
Ho  0.500  0.000  0.250
Ho  0.500  0.000  0.750
Ho  0.750  0.750  0.000
Ho  0.750  0.250  0.500
Ho  0.250  0.250  0.000
Ho  0.000  0.500  0.750
Ho  0.250  0.750  0.000
Ho  0.500  0.500  0.250
Tm  0.000  0.000  0.250
Tm  0.750  0.250  0.000
Tm  0.000  0.000  0.750

Computed properties:
polymorph energy (0 for the lowest one)	16.4	meV per atom